Tm2PPb2 | PBE | relaxed

Calculated values
density: 9.5 g/cm³
V: 274.2 Å³/cell
magnetization: 0.00 μB/cell
formation energy from the elements: -719 meV per atom

Unit cell a=6.5521 b=3.7800 c=11.2876 alpha=90.00 beta=101.28 gamma=90.00
Closest atoms and distances in Å follow each position.
Space group C2/m (No. 12)
Symmetry-distinct sites (fractional):
1 Tm 0.2145 0.0000 0.1414  3 P 2.69
2 P 0.0000 0.5000 0.0000  6 Tm 2.69
3 Pb 0.0395 0.0000 0.6367  1 Pb 3.03, 3 Tm 3.27-3.30

Tm3PPb | PBE | relaxed

Calculated values
density: 9.0 g/cm³
V: 138.1 Å³/cell
magnetization: 0.00 μB/cell
formation energy from the elements: -688 meV per atom
relative energy among the computed polymorphs: 177 meV per atom

Unit cell a=5.1692 b=5.1692 c=5.1692 alpha=90.00 beta=90.00 gamma=90.00
Closest atoms and distances in Å follow each position.
Space group Pm-3m (No. 221)
Symmetry-distinct sites (fractional):
1 Tm 0.0000 0.0000 0.5000  2 P 2.58
2 P 0.0000 0.0000 0.0000  6 Tm 2.58
3 Pb 0.5000 0.5000 0.5000  12 Tm 3.66

Tm2PPb | PBE | relaxed

Calculated values
density: 9.4 g/cm³
V: 203.4 Å³/cell
magnetization: 0.00 μB/cell
formation energy from the elements: -1033 meV per atom
relative energy among the computed polymorphs: 0 meV per atom

Unit cell a=6.7198 b=3.8701 c=8.1298 alpha=90.00 beta=105.87 gamma=90.00
Closest atoms and distances in Å follow each position.
Space group C2/m (No. 12)
Symmetry-distinct sites (fractional):
1 Tm 0.2319 0.0000 0.1966  3 P 2.71-2.72
2 P 0.0000 0.5000 0.0000  6 Tm 2.71-2.72
3 Pb 0.0000 0.0000 0.5000  6 Tm 3.26

Tm2PPb | PBE | relaxed

Calculated values
density: 9.3 g/cm³
V: 307.0 Å³/cell
magnetization: 0.00 μB/cell
formation energy from the elements: -999 meV per atom
relative energy among the computed polymorphs: 34 meV per atom

Unit cell a=3.8390 b=3.8390 c=24.0509 alpha=90.00 beta=90.00 gamma=120.00
Closest atoms and distances in Å follow each position.
Space group R3m (No. 160, hexagonal axes)
Symmetry-distinct sites (fractional):
1 Tm 0.0000 0.0000 0.0000  3 P 2.69
2 Tm 0.0000 0.0000 0.2050  3 P 2.71
3 P 0.0000 0.0000 0.6034  6 Tm 2.69-2.71
4 Pb 0.0000 0.0000 0.4356  6 Tm 3.31-3.32